[1]
! NdNi9Sn2, relaxed, DFT GGA-PBE; values from VASP
&SYSTEM
  ibrav = 0, nat = 24, ntyp = 3
/
ATOMIC_SPECIES
Nd 144.24 Nd.upf
Ni 58.69 Ni.upf
Sn 118.71 Sn.upf
CELL_PARAMETERS angstrom
8.258 0.000 0.000
0.000 8.258 0.000
0.000 0.000 4.909
ATOMIC_POSITIONS crystal
Nd 0.000 0.000 0.000
Nd 0.500 0.500 0.000
Ni 0.000 0.500 0.500
Ni 0.067 0.207 0.500
Ni 0.173 0.673 0.247
Ni 0.173 0.673 0.753
Ni 0.207 0.933 0.500
Ni 0.293 0.433 0.500
Ni 0.327 0.173 0.247
Ni 0.327 0.173 0.753
Ni 0.433 0.707 0.500
Ni 0.500 0.000 0.500
Ni 0.567 0.293 0.500
Ni 0.673 0.827 0.247
Ni 0.673 0.827 0.753
Ni 0.707 0.567 0.500
Ni 0.793 0.067 0.500
Ni 0.827 0.327 0.247
Ni 0.827 0.327 0.753
Ni 0.933 0.793 0.500
Sn 0.128 0.372 0.000
Sn 0.372 0.872 0.000
Sn 0.628 0.128 0.000
Sn 0.872 0.628 0.000
! Space-group type: P4/mbm (127)
! N(E_F): 1.4872 states/eV per atom
! Energy relative to the elements: -0.233 eV/atom
! Size of the total moment: 0.0 μB/f.u.



[2]
! Dy5Sc2Sb5, relaxed, DFT GGA-PBE; values from VASP
&SYSTEM
  ibrav = 0, nat = 12, ntyp = 3
/
ATOMIC_SPECIES
Dy 162.50 Dy.upf
Sc 44.96 Sc.upf
Sb 121.76 Sb.upf
CELL_PARAMETERS angstrom
7.073 -2.158 0.000
7.073 2.158 0.000
-4.542 0.000 11.404
ATOMIC_POSITIONS crystal
Dy 0.000 0.000 0.000
Dy 0.162 0.162 0.534
Dy 0.225 0.225 0.846
Dy 0.775 0.775 0.154
Dy 0.838 0.838 0.466
Sc 0.446 0.446 0.705
Sc 0.554 0.554 0.295
Sb 0.188 0.188 0.283
Sb 0.389 0.389 0.081
Sb 0.500 0.500 0.500
Sb 0.611 0.611 0.919
Sb 0.812 0.812 0.717
! Space-group type: C2/m (12)
! Final energy: -5.528 eV/atom
! N(E_F): 0.7207 states/eV per atom
! Size of the total moment: 0.0 μB/f.u.



[3]
! LiAgRh2, relaxed, DFT GGA-PBE; values from VASP
&SYSTEM
  ibrav = 0, nat = 4, ntyp = 3
/
ATOMIC_SPECIES
Li 6.94 Li.upf
Ag 107.87 Ag.upf
Rh 102.91 Rh.upf
CELL_PARAMETERS angstrom
3.729 0.000 0.000
0.000 3.729 0.000
0.000 0.000 4.260
ATOMIC_POSITIONS crystal
Li 0.000 0.000 0.000
Ag 0.500 0.500 0.000
Rh 0.000 0.500 0.500
Rh 0.500 0.000 0.500
! Space-group type: P4/mmm (123)
! N(E_F): 1.1619 states/eV per atom
! Energy relative to the elements: 0.096 eV/atom
! Size of the total moment: 1.3 μB/f.u.



[4]
! TcOsPb2, relaxed, DFT GGA-PBE; values from VASP
&SYSTEM
  ibrav = 0, nat = 8, ntyp = 3
/
ATOMIC_SPECIES
Tc 98.00 Tc.upf
Os 190.23 Os.upf
Pb 207.20 Pb.upf
CELL_PARAMETERS angstrom
3.117 0.000 0.000
0.000 4.616 0.000
0.000 0.000 11.732
ATOMIC_POSITIONS crystal
Tc 0.000 0.000 0.000
Tc 0.500 0.500 0.500
Os 0.000 0.500 0.675
Os 0.500 0.000 0.175
Pb 0.000 0.000 0.479
Pb 0.000 0.500 0.260
Pb 0.500 0.000 0.760
Pb 0.500 0.500 0.979
! Space-group type: Imm2 (44)
! N(E_F): 0.8125 states/eV per atom
! Energy relative to the elements: 0.822 eV/atom
! Size of the total moment: 0.0 μB/f.u.



[5]
! AlP2RuO, relaxed, DFT GGA-PBE; values from VASP
&SYSTEM
  ibrav = 0, nat = 5, ntyp = 4
/
ATOMIC_SPECIES
Al 26.98 Al.upf
P 30.97 P.upf
Ru 101.07 Ru.upf
O 16.00 O.upf
CELL_PARAMETERS angstrom
4.788 0.000 0.000
0.000 4.788 0.000
0.000 0.000 3.651
ATOMIC_POSITIONS crystal
Al 0.000 0.000 0.000
P 0.000 0.500 0.500
P 0.500 0.000 0.500
Ru 0.500 0.500 0.500
O 0.500 0.500 0.000
! Space-group type: P4/mmm (123)
! Final energy: -5.627 eV/atom
! N(E_F): 0.9294 states/eV per atom
! Size of the total moment: 0.5 μB/f.u.



[6]
! Pm5TlRu2, relaxed, DFT GGA-PBE; values from VASP
&SYSTEM
  ibrav = 0, nat = 16, ntyp = 3
/
ATOMIC_SPECIES
Pm 145.00 Pm.upf
Tl 204.38 Tl.upf
Ru 101.07 Ru.upf
CELL_PARAMETERS angstrom
-3.968 3.968 6.989
3.968 -3.968 6.989
3.968 3.968 -6.989
ATOMIC_POSITIONS crystal
Pm 0.000 0.000 0.000
Pm 0.028 0.528 0.820
Pm 0.209 0.028 0.500
Pm 0.291 0.791 0.820
Pm 0.472 0.291 0.500
Pm 0.500 0.500 0.000
Pm 0.528 0.709 0.500
Pm 0.709 0.209 0.180
Pm 0.791 0.972 0.500
Pm 0.972 0.472 0.180
Tl 0.250 0.250 0.000
Tl 0.750 0.750 0.000
Ru 0.142 0.358 0.500
Ru 0.358 0.858 0.215
Ru 0.642 0.142 0.785
Ru 0.858 0.642 0.500
! Space-group type: I4/mcm (140)
! N(E_F): 0.9195 states/eV per atom
! Energy relative to the elements: -0.299 eV/atom
! Size of the total moment: 0.0 μB/f.u.



[7]
! Sr2Li3Hg, relaxed, DFT GGA-PBE; values from VASP
&SYSTEM
  ibrav = 0, nat = 12, ntyp = 3
/
ATOMIC_SPECIES
Sr 87.62 Sr.upf
Li 6.94 Li.upf
Hg 200.59 Hg.upf
CELL_PARAMETERS angstrom
10.873 0.000 0.000
0.000 6.143 0.000
-3.647 0.000 5.231
ATOMIC_POSITIONS crystal
Sr 0.125 0.000 0.378
Sr 0.375 0.500 0.622
Sr 0.625 0.500 0.378
Sr 0.875 0.000 0.622
Li 0.000 0.500 0.000
Li 0.250 0.250 0.000
Li 0.250 0.750 0.000
Li 0.500 0.000 0.000
Li 0.750 0.250 0.000
Li 0.750 0.750 0.000
Hg 0.000 0.500 0.500
Hg 0.500 0.000 0.500
! Space-group type: C2/m (12)
! N(E_F): 0.7956 states/eV per atom
! Energy relative to the elements: -0.160 eV/atom
! Size of the total moment: 0.0 μB/f.u.



[8]
! Ga3PPt, relaxed, DFT GGA-PBE; values from VASP
&SYSTEM
  ibrav = 0, nat = 5, ntyp = 3
/
ATOMIC_SPECIES
Ga 69.72 Ga.upf
P 30.97 P.upf
Pt 195.08 Pt.upf
CELL_PARAMETERS angstrom
4.807 0.000 0.000
0.000 4.807 0.000
0.000 0.000 4.807
ATOMIC_POSITIONS crystal
Ga 0.000 0.000 0.500
Ga 0.000 0.500 0.000
Ga 0.500 0.000 0.000
P 0.500 0.500 0.500
Pt 0.000 0.000 0.000
! Space-group type: Pm-3m (221)
! N(E_F): 0.7261 states/eV per atom
! Energy relative to the elements: 0.108 eV/atom
! Size of the total moment: 0.0 μB/f.u.